No. 1
A relaxed Nd3Sm4Y5 crystal, computed with PBE-GGA.

a = 7.232 Å, b = 11.440 Å, c = 13.041 Å
α = 151.30°, β = 56.38°, γ = 129.23°
Atoms (fractional coordinates):
Y  0.668  0.334  0.166
Y  0.750  0.501  0.001
Y  0.332  0.666  0.834
Y  0.500  0.000  0.500
Y  0.250  0.499  0.999
Nd  0.417  0.834  0.667
Nd  0.583  0.166  0.333
Nd  0.000  0.000  0.500
Sm  0.918  0.835  0.667
Sm  0.082  0.165  0.333
Sm  0.167  0.334  0.167
Sm  0.833  0.666  0.833

Summary:
**Spin magnetization**: 0.000 Bohr magnetons per cell
**Offset from the most stable computed form**: 0.000 eV/atom
**Calculated formation energy**: 0.013 eV/atom

No. 2
A relaxed Nd5Sm5Y crystal, computed with PBE-GGA.

a = 6.226 Å, b = 6.226 Å, c = 11.641 Å
α = 90.00°, β = 90.00°, γ = 120.00°
Atoms (fractional coordinates):
Nd  0.000  0.000  0.736
Nd  0.830  0.170  0.500
Nd  0.000  0.000  0.264
Nd  0.830  0.660  0.500
Nd  0.340  0.170  0.500
Sm  0.333  0.667  0.682
Sm  0.667  0.333  0.841
Sm  0.000  0.000  0.000
Sm  0.333  0.667  0.318
Sm  0.667  0.333  0.159
Y  0.333  0.667  0.000

Summary:
**Spin magnetization**: 0.000 Bohr magnetons per cell
**Calculated formation energy**: 0.304 eV/atom

No. 3
A relaxed NdSm2Y7 crystal, computed with PBE-GGA.

a = 5.609 Å, b = 9.229 Å, c = 9.229 Å
α = 123.10°, β = 90.00°, γ = 90.00°
Atoms (fractional coordinates):
Sm  0.500  0.297  0.703
Sm  0.500  0.703  0.297
Y  0.000  0.220  0.780
Y  0.500  0.500  0.500
Y  0.500  0.292  0.062
Y  0.500  0.062  0.292
Y  0.500  0.708  0.938
Y  0.500  0.938  0.708
Y  0.000  0.780  0.220
Nd  0.000  0.000  0.000

Summary:
**Spin magnetization**: 0.000 Bohr magnetons per cell
**Offset from the most stable computed form**: 0.289 eV/atom
**Calculated formation energy**: 0.689 eV/atom

No. 4
A relaxed Nd6Sm2Y5 crystal, computed with PBE-GGA.

a = 3.665 Å, b = 11.822 Å, c = 20.712 Å
α = 90.00°, β = 90.00°, γ = 90.00°
Atoms (fractional coordinates):
Y  0.500  0.409  0.723
Y  0.500  0.801  0.058
Y  0.500  0.000  0.500
Y  0.500  0.301  0.442
Y  0.500  0.699  0.558
Y  0.500  0.091  0.223
Y  0.500  0.199  0.942
Y  0.500  0.500  0.000
Y  0.500  0.909  0.777
Y  0.500  0.591  0.277
Sm  0.000  0.169  0.786
Sm  0.000  0.831  0.214
Sm  0.000  0.669  0.714
Sm  0.000  0.331  0.286
Nd  0.500  0.825  0.369
Nd  0.000  0.421  0.865
Nd  0.000  0.062  0.077
Nd  0.500  0.325  0.131
Nd  0.000  0.938  0.923
Nd  0.000  0.438  0.577
Nd  0.000  0.921  0.635
Nd  0.500  0.675  0.869
Nd  0.000  0.562  0.423
Nd  0.000  0.579  0.135
Nd  0.000  0.079  0.365
Nd  0.500  0.175  0.631

Summary:
**Spin magnetization**: 0.000 Bohr magnetons per cell
**Calculated formation energy**: 0.098 eV/atom

No. 5
A relaxed Nd3Sm2Y8 crystal, computed with PBE-GGA.

a = 5.712 Å, b = 10.897 Å, c = 10.897 Å
α = 41.60°, β = 90.04°, γ = 90.04°
Atoms (fractional coordinates):
Y  0.500  0.602  0.182
Y  0.999  0.329  0.329
Y  0.500  0.398  0.818
Y  0.000  0.134  0.134
Y  0.000  0.866  0.866
Y  0.001  0.671  0.671
Y  0.500  0.818  0.398
Y  0.500  0.182  0.602
Sm  0.499  0.242  0.242
Sm  0.501  0.758  0.758
Nd  0.000  0.292  0.708
Nd  0.500  0.000  0.000
Nd  0.000  0.708  0.292

Summary:
**Spin magnetization**: 0.000 Bohr magnetons per cell
**Offset from the most stable computed form**: 0.231 eV/atom
**Calculated formation energy**: 0.248 eV/atom

No. 6
A relaxed Nd4Sm4Y5 crystal, computed with PBE-GGA.

a = 5.112 Å, b = 9.596 Å, c = 9.596 Å
α = 85.93°, β = 74.55°, γ = 74.55°
Atoms (fractional coordinates):
Y  0.462  0.229  0.848
Y  0.000  0.000  0.000
Y  0.538  0.771  0.152
Y  0.310  0.152  0.229
Y  0.690  0.848  0.771
Nd  0.616  0.306  0.462
Nd  0.384  0.694  0.538
Nd  0.922  0.462  0.694
Nd  0.078  0.538  0.306
Sm  0.230  0.616  0.924
Sm  0.154  0.076  0.616
Sm  0.770  0.384  0.076
Sm  0.846  0.924  0.384

Summary:
**Spin magnetization**: 0.000 Bohr magnetons per cell
**Calculated formation energy**: 0.015 eV/atom